# RbLiBr2 (PBE, relaxed)
# calculated density: 3.20 g/cm3
# E_tot: -3.19 eV per atom
# formation energy (no corrections): -1.637 eV per atom
# DOS(E_F): 0.000 states/eV/cell
data_RbLiBr2
_chemical_formula_sum 'Rb4 Li4 Br8'
_cell_length_a 17.477
_cell_length_b 4.371
_cell_length_c 7.597
_cell_angle_alpha 90.00
_cell_angle_beta 115.50
_cell_angle_gamma 90.00
_symmetry_space_group_name_H-M 'P 1'
_symmetry_Int_Tables_number 1
_symmetry_space_group_name_Hall 'P 1'
loop_
_atom_site_label
_atom_site_fract_x
_atom_site_fract_y
_atom_site_fract_z
Rb1 0.135 0.000 0.133
Rb2 0.365 0.500 0.867
Rb3 0.635 0.500 0.133
Rb4 0.865 0.000 0.867
Li1 0.102 0.500 0.603
Li2 0.398 0.000 0.397
Li3 0.602 0.000 0.603
Li4 0.898 0.500 0.397
Br1 0.001 0.500 0.244
Br2 0.192 0.000 0.694
Br3 0.308 0.500 0.306
Br4 0.499 0.000 0.756
Br5 0.501 0.000 0.244
Br6 0.692 0.500 0.694
Br7 0.808 0.000 0.306
Br8 0.999 0.500 0.756

---

# Sr2ZnInN (PBE, relaxed)
# energy above the lowest structure with this stoichiometry: 0.127 eV per atom
# calculated density: 5.02 g/cm3
# E_tot: -3.44 eV per atom
# formation energy (no corrections): -0.304 eV per atom
# DOS(E_F): 2.548 states/eV/cell
data_Sr2ZnInN
_chemical_formula_sum 'Sr2 Zn1 In1 N1'
_cell_length_a 5.564
_cell_length_b 5.564
_cell_length_c 3.946
_cell_angle_alpha 90.00
_cell_angle_beta 90.00
_cell_angle_gamma 90.00
_symmetry_space_group_name_H-M 'P 1'
_symmetry_Int_Tables_number 1
_symmetry_space_group_name_Hall 'P 1'
loop_
_atom_site_label
_atom_site_fract_x
_atom_site_fract_y
_atom_site_fract_z
Sr1 0.000 0.500 0.000
Sr2 0.500 0.000 0.000
Zn1 0.000 0.000 0.500
In1 0.500 0.500 0.500
N1 0.000 0.000 0.000

---

# Dy2Al2GaNi5 (PBE, relaxed)
# calculated density: 8.07 g/cm3
# E_tot: -5.23 eV per atom
# DOS(E_F): 17.152 states/eV/cell
data_Dy2Al2GaNi5
_chemical_formula_sum 'Dy4 Al4 Ga2 Ni10'
_cell_length_a 10.101
_cell_length_b 10.101
_cell_length_c 2.994
_cell_angle_alpha 90.00
_cell_angle_beta 90.00
_cell_angle_gamma 90.00
_symmetry_space_group_name_H-M 'P 1'
_symmetry_Int_Tables_number 1
_symmetry_space_group_name_Hall 'P 1'
loop_
_atom_site_label
_atom_site_fract_x
_atom_site_fract_y
_atom_site_fract_z
Dy1 0.173 0.327 0.000
Dy2 0.327 0.827 0.000
Dy3 0.673 0.173 0.000
Dy4 0.827 0.673 0.000
Al1 0.128 0.628 0.000
Al2 0.372 0.128 0.000
Al3 0.628 0.872 0.000
Al4 0.872 0.372 0.000
Ga1 0.000 0.000 0.000
Ga2 0.500 0.500 0.000
Ni1 0.000 0.500 0.500
Ni2 0.052 0.808 0.500
Ni3 0.192 0.052 0.500
Ni4 0.308 0.552 0.500
Ni5 0.448 0.308 0.500
Ni6 0.500 0.000 0.500
Ni7 0.552 0.692 0.500
Ni8 0.692 0.448 0.500
Ni9 0.808 0.948 0.500
Ni10 0.948 0.192 0.500

---

# FeTcW2 (PBE, relaxed)
# energy above the lowest structure with this stoichiometry: 0.028 eV per atom
# calculated density: 14.61 g/cm3
# E_tot: -11.05 eV per atom
# DOS(E_F): 7.326 states/eV/cell
data_FeTcW2
_chemical_formula_sum 'Fe2 Tc2 W4'
_cell_length_a 3.125
_cell_length_b 4.353
_cell_length_c 8.712
_cell_angle_alpha 90.00
_cell_angle_beta 90.00
_cell_angle_gamma 90.00
_symmetry_space_group_name_H-M 'P 1'
_symmetry_Int_Tables_number 1
_symmetry_space_group_name_Hall 'P 1'
loop_
_atom_site_label
_atom_site_fract_x
_atom_site_fract_y
_atom_site_fract_z
Fe1 0.000 0.000 0.000
Fe2 0.500 0.500 0.500
Tc1 0.000 0.500 0.756
Tc2 0.500 0.000 0.256
W1 0.000 0.000 0.505
W2 0.000 0.500 0.254
W3 0.500 0.000 0.754
W4 0.500 0.500 0.005

---

# TlHSe2Br (PBE, relaxed)
# energy above the lowest structure with this stoichiometry: 0.680 eV per atom
# calculated density: 4.11 g/cm3
# E_tot: -2.07 eV per atom
# DOS(E_F): 5.159 states/eV/cell
data_TlHSe2Br
_chemical_formula_sum 'Tl1 H1 Se2 Br1'
_cell_length_a 5.553
_cell_length_b 5.553
_cell_length_c 5.803
_cell_angle_alpha 90.00
_cell_angle_beta 90.00
_cell_angle_gamma 90.00
_symmetry_space_group_name_H-M 'P 1'
_symmetry_Int_Tables_number 1
_symmetry_space_group_name_Hall 'P 1'
loop_
_atom_site_label
_atom_site_fract_x
_atom_site_fract_y
_atom_site_fract_z
Tl1 0.000 0.000 0.000
H1 0.500 0.500 0.500
Se1 0.000 0.500 0.000
Se2 0.500 0.000 0.000
Br1 0.000 0.000 0.500

---

# LiSbMoI2 (PBE, relaxed)
# energy above the lowest structure with this stoichiometry: 0.000 eV per atom
# calculated density: 4.48 g/cm3
# E_tot: -3.77 eV per atom
# formation energy (no corrections): 0.224 eV per atom
# DOS(E_F): 2.507 states/eV/cell
data_LiSbMoI2
_chemical_formula_sum 'Li1 Sb1 Mo1 I2'
_cell_length_a 5.826
_cell_length_b 5.826
_cell_length_c 5.226
_cell_angle_alpha 90.00
_cell_angle_beta 90.00
_cell_angle_gamma 90.00
_symmetry_space_group_name_H-M 'P 1'
_symmetry_Int_Tables_number 1
_symmetry_space_group_name_Hall 'P 1'
loop_
_atom_site_label
_atom_site_fract_x
_atom_site_fract_y
_atom_site_fract_z
Li1 0.000 0.000 0.000
Sb1 0.500 0.500 0.000
Mo1 0.500 0.500 0.500
I1 0.000 0.500 0.500
I2 0.500 0.000 0.500